Record 1
{"formula": "AgSbPb2", "functional": "GGA-PBEsol", "state": "relaxed", "magnetic_moment_mub_per_fu": 0.0, "vol_a3_per_fu": 102.7, "space_group": "Pmm2", "raw_formation_energy_ev_per_atom": 0.0897, "crystal_system": "orthorhombic", "cell": [[3.489, 0.000, 0.000], [0.000, 4.070, 0.000], [0.000, 0.000, 7.234]], "species": ["Ag", "Sb", "Pb", "Pb"], "frac_coords": [[0.000, 0.000, 0.000], [0.500, 0.500, 0.806], [0.000, 0.000, 0.541], [0.500, 0.500, 0.235]]}



Record 2
{"formula": "AgSbPb2", "functional": "GGA-PBEsol", "state": "relaxed", "magnetic_moment_mub_per_fu": 0.0, "vol_a3_per_fu": 103.1, "space_group": "Cm", "raw_formation_energy_ev_per_atom": 0.0927, "crystal_system": "monoclinic", "cell": [[5.821, -1.687, 0.000], [5.821, 1.687, 0.000], [-2.157, 0.000, 5.253]], "species": ["Ag", "Sb", "Pb", "Pb"], "frac_coords": [[0.000, 0.000, 0.000], [0.296, 0.296, 0.704], [0.525, 0.525, 0.483], [0.737, 0.737, 0.159]]}



Record 3
{"formula": "AgSb2Pb", "functional": "GGA-PBEsol", "state": "relaxed", "magnetic_moment_mub_per_fu": 0.0, "vol_a3_per_fu": 100.6, "space_group": "Imm2", "raw_formation_energy_ev_per_atom": 0.1827, "crystal_system": "orthorhombic", "cell": [[-1.966, 2.563, 4.988], [1.966, -2.563, 4.988], [1.966, 2.563, -4.988]], "species": ["Ag", "Sb", "Sb", "Pb"], "frac_coords": [[0.000, 0.000, 0.000], [0.536, 0.536, 0.000], [0.777, 0.277, 0.500], [0.255, 0.755, 0.500]]}



Record 4
{"formula": "AgSbPb2", "functional": "GGA-PBEsol", "state": "relaxed", "magnetic_moment_mub_per_fu": 0.0, "vol_a3_per_fu": 103.3, "space_group": "P4mm", "raw_formation_energy_ev_per_atom": 0.0965, "crystal_system": "tetragonal", "cell": [[3.736, 0.000, 0.000], [0.000, 3.736, 0.000], [0.000, 0.000, 7.403]], "species": ["Ag", "Sb", "Pb", "Pb"], "frac_coords": [[0.000, 0.000, 0.000], [0.500, 0.500, 0.808], [0.000, 0.000, 0.545], [0.500, 0.500, 0.233]]}